Here is crystalline Nb2NiO6 at its relaxed geometry from Alexandria via LeMat-Bulk. Energies are from PBE+U.

Computed properties:
Volume = 217 Å³ per cell
Space-group type = C2/m (12)
Raw total energy = -7.74 eV per atom

The structure in CIF format:
```
data_Nb2NiO6
_chemical_formula_sum 'Nb4 Ni2 O12'
_cell_length_a 5.682
_cell_length_b 5.682
_cell_length_c 7.094
_cell_angle_alpha 94.65
_cell_angle_beta 94.65
_cell_angle_gamma 72.60
_space_group_name_H-M_alt 'P 1'
_space_group_IT_number 1
loop_
_space_group_symop_operation_xyz
'x,y,z'
loop_
_atom_site_label
_atom_site_type_symbol
_atom_site_fract_x
_atom_site_fract_y
_atom_site_fract_z
Nb1 Nb 0.000 0.000 0.000
Nb2 Nb 0.000 0.000 0.500
Nb3 Nb 0.402 0.402 0.792
Nb4 Nb 0.598 0.598 0.208
Ni1 Ni 0.241 0.241 0.293
Ni2 Ni 0.759 0.759 0.707
O1 O 0.108 0.749 0.706
O2 O 0.209 0.209 0.986
O3 O 0.214 0.214 0.607
O4 O 0.251 0.892 0.294
O5 O 0.322 0.678 0.000
O6 O 0.439 0.439 0.338
O7 O 0.561 0.561 0.662
O8 O 0.678 0.322 0.000
O9 O 0.749 0.108 0.706
O10 O 0.786 0.786 0.393
O11 O 0.791 0.791 0.014
O12 O 0.892 0.251 0.294
```

Here is crystalline NbNiO2 at its relaxed geometry from Alexandria via LeMat-Bulk. Energies are from PBE+U.

Computed properties:
Volume = 111 Å³ per cell
Space-group type = P1 (1)
Raw total energy = -6.76 eV per atom

The structure in CIF format:
```
data_NbNiO2
_chemical_formula_sum 'Nb2 Ni2 O4'
_cell_length_a 3.860
_cell_length_b 5.105
_cell_length_c 6.016
_cell_angle_alpha 81.37
_cell_angle_beta 71.38
_cell_angle_gamma 85.41
_space_group_name_H-M_alt 'P 1'
_space_group_IT_number 1
loop_
_space_group_symop_operation_xyz
'x,y,z'
loop_
_atom_site_label
_atom_site_type_symbol
_atom_site_fract_x
_atom_site_fract_y
_atom_site_fract_z
Nb1 Nb 0.000 0.000 0.000
Nb2 Nb 0.282 0.082 0.409
Ni1 Ni 0.161 0.638 0.630
Ni2 Ni 0.458 0.660 0.207
O1 O 0.129 0.248 0.698
O2 O 0.471 0.148 0.033
O3 O 0.818 0.156 0.330
O4 O 0.962 0.646 0.961
```

Here is crystalline NbNiO2 at its relaxed geometry from Alexandria via LeMat-Bulk. Energies are from PBE+U.

Computed properties:
Volume = 38 Å³ per cell
Space-group type = Fm-3m (225)
Raw total energy = -6.35 eV per atom

The structure in CIF format:
```
data_NbNiO2
_chemical_formula_sum 'Nb1 Ni1 O2'
_cell_length_a 3.776
_cell_length_b 3.776
_cell_length_c 3.776
_cell_angle_alpha 60.00
_cell_angle_beta 60.00
_cell_angle_gamma 60.00
_space_group_name_H-M_alt 'P 1'
_space_group_IT_number 1
loop_
_space_group_symop_operation_xyz
'x,y,z'
loop_
_atom_site_label
_atom_site_type_symbol
_atom_site_fract_x
_atom_site_fract_y
_atom_site_fract_z
Nb1 Nb 0.000 0.000 0.000
Ni1 Ni 0.500 0.500 0.500
O1 O 0.250 0.250 0.250
O2 O 0.750 0.750 0.750
```

Here is crystalline Nb2Ni2O at its relaxed geometry from Alexandria via LeMat-Bulk. Energies are from PBE+U.

Computed properties:
Volume = 134 Å³ per cell
Space-group type = P4/mbm (127)
Raw total energy = -5.41 eV per atom

The structure in CIF format:
```
data_Nb2Ni2O
_chemical_formula_sum 'Nb4 Ni4 O2'
_cell_length_a 5.305
_cell_length_b 5.305
_cell_length_c 4.771
_cell_angle_alpha 90.00
_cell_angle_beta 90.00
_cell_angle_gamma 90.00
_space_group_name_H-M_alt 'P 1'
_space_group_IT_number 1
loop_
_space_group_symop_operation_xyz
'x,y,z'
loop_
_atom_site_label
_atom_site_type_symbol
_atom_site_fract_x
_atom_site_fract_y
_atom_site_fract_z
Nb1 Nb 0.185 0.315 0.000
Nb2 Nb 0.315 0.815 0.000
Nb3 Nb 0.685 0.185 0.000
Nb4 Nb 0.815 0.685 0.000
Ni1 Ni 0.178 0.678 0.500
Ni2 Ni 0.322 0.178 0.500
Ni3 Ni 0.678 0.822 0.500
Ni4 Ni 0.822 0.322 0.500
O1 O 0.000 0.000 0.500
O2 O 0.500 0.500 0.500
```

Here is crystalline Nb2NiO6 at its relaxed geometry from Alexandria via LeMat-Bulk. Energies are from PBE+U.

Computed properties:
Volume = 214 Å³ per cell
Space-group type = P1 (1)
Raw total energy = -8.02 eV per atom

The structure in CIF format:
```
data_Nb2NiO6
_chemical_formula_sum 'Nb4 Ni2 O12'
_cell_length_a 5.695
_cell_length_b 5.700
_cell_length_c 7.529
_cell_angle_alpha 71.56
_cell_angle_beta 71.66
_cell_angle_gamma 71.74
_space_group_name_H-M_alt 'P 1'
_space_group_IT_number 1
loop_
_space_group_symop_operation_xyz
'x,y,z'
loop_
_atom_site_label
_atom_site_type_symbol
_atom_site_fract_x
_atom_site_fract_y
_atom_site_fract_z
Nb1 Nb 0.000 0.000 0.000
Nb2 Nb 0.014 0.972 0.510
Nb3 Nb 0.362 0.332 0.718
Nb4 Nb 0.667 0.639 0.346
Ni1 Ni 0.340 0.339 0.193
Ni2 Ni 0.658 0.657 0.868
O1 O 0.044 0.646 0.693
O2 O 0.116 0.113 0.722
O3 O 0.229 0.226 0.991
O4 O 0.284 0.703 0.029
O5 O 0.362 0.959 0.369
O6 O 0.434 0.432 0.407
O7 O 0.571 0.570 0.651
O8 O 0.650 0.043 0.692
O9 O 0.703 0.284 0.029
O10 O 0.763 0.762 0.069
O11 O 0.898 0.891 0.328
O12 O 0.961 0.355 0.370
```

Here is crystalline NbNiO2 at its relaxed geometry from Alexandria via LeMat-Bulk. Energies are from PBE+U.

Computed properties:
Volume = 47 Å³ per cell
Space-group type = R-3m (166)
Raw total energy = -6.99 eV per atom

The structure in CIF format:
```
data_NbNiO2
_chemical_formula_sum 'Nb1 Ni1 O2'
_cell_length_a 6.695
_cell_length_b 6.695
_cell_length_c 6.695
_cell_angle_alpha 25.03
_cell_angle_beta 25.03
_cell_angle_gamma 25.03
_space_group_name_H-M_alt 'P 1'
_space_group_IT_number 1
loop_
_space_group_symop_operation_xyz
'x,y,z'
loop_
_atom_site_label
_atom_site_type_symbol
_atom_site_fract_x
_atom_site_fract_y
_atom_site_fract_z
Nb1 Nb 0.000 0.000 0.000
Ni1 Ni 0.500 0.500 0.500
O1 O 0.401 0.401 0.401
O2 O 0.599 0.599 0.599
```

Here is crystalline Nb2Ni2O9 at its relaxed geometry from Alexandria via LeMat-Bulk. Energies are from PBE+U.

Computed properties:
Volume = 290 Å³ per cell
Space-group type = P6_3/mcm (193)
Raw total energy = -6.70 eV per atom

The structure in CIF format:
```
data_Nb2Ni2O9
_chemical_formula_sum 'Nb4 Ni4 O18'
_cell_length_a 4.847
_cell_length_b 4.847
_cell_length_c 14.273
_cell_angle_alpha 90.00
_cell_angle_beta 90.00
_cell_angle_gamma 120.00
_space_group_name_H-M_alt 'P 1'
_space_group_IT_number 1
loop_
_space_group_symop_operation_xyz
'x,y,z'
loop_
_atom_site_label
_atom_site_type_symbol
_atom_site_fract_x
_atom_site_fract_y
_atom_site_fract_z
Nb1 Nb 0.000 0.000 0.156
Nb2 Nb 0.000 0.000 0.344
Nb3 Nb 0.000 0.000 0.656
Nb4 Nb 0.000 0.000 0.844
Ni1 Ni 0.333 0.667 0.000
Ni2 Ni 0.333 0.667 0.500
Ni3 Ni 0.667 0.333 0.000
Ni4 Ni 0.667 0.333 0.500
O1 O 0.000 0.300 0.250
O2 O 0.000 0.355 0.572
O3 O 0.000 0.355 0.928
O4 O 0.000 0.645 0.072
O5 O 0.000 0.645 0.428
O6 O 0.000 0.700 0.750
O7 O 0.300 0.000 0.250
O8 O 0.300 0.300 0.750
O9 O 0.355 0.000 0.572
O10 O 0.355 0.000 0.928
O11 O 0.355 0.355 0.072
O12 O 0.355 0.355 0.428
O13 O 0.645 0.000 0.072
O14 O 0.645 0.000 0.428
O15 O 0.645 0.645 0.572
O16 O 0.645 0.645 0.928
O17 O 0.700 0.000 0.750
O18 O 0.700 0.700 0.250
```

Here is crystalline NbNiO2 at its relaxed geometry from Alexandria via LeMat-Bulk. Energies are from PBE+U.

Computed properties:
Volume = 100 Å³ per cell
Space-group type = P1 (1)
Raw total energy = -6.89 eV per atom

The structure in CIF format:
```
data_NbNiO2
_chemical_formula_sum 'Nb2 Ni2 O4'
_cell_length_a 3.907
_cell_length_b 5.166
_cell_length_c 5.640
_cell_angle_alpha 116.21
_cell_angle_beta 100.54
_cell_angle_gamma 90.12
_space_group_name_H-M_alt 'P 1'
_space_group_IT_number 1
loop_
_space_group_symop_operation_xyz
'x,y,z'
loop_
_atom_site_label
_atom_site_type_symbol
_atom_site_fract_x
_atom_site_fract_y
_atom_site_fract_z
Nb1 Nb 0.000 0.000 0.000
Nb2 Nb 0.356 0.771 0.580
Ni1 Ni 0.463 0.592 0.007
Ni2 Ni 0.579 0.254 0.468
O1 O 0.145 0.954 0.341
O2 O 0.270 0.392 0.203
O3 O 0.659 0.176 0.798
O4 O 0.865 0.643 0.608
```

Here is crystalline NbNiPO2 at its relaxed geometry from Alexandria via LeMat-Bulk. Energies are from PBE+U.

Computed properties:
Volume = 80 Å³ per cell
Space-group type = P4/mmm (123)
Raw total energy = -6.56 eV per atom

The structure in CIF format:
```
data_NbNiPO2
_chemical_formula_sum 'Nb1 Ni1 P1 O2'
_cell_length_a 3.871
_cell_length_b 3.871
_cell_length_c 5.332
_cell_angle_alpha 90.00
_cell_angle_beta 90.00
_cell_angle_gamma 90.00
_space_group_name_H-M_alt 'P 1'
_space_group_IT_number 1
loop_
_space_group_symop_operation_xyz
'x,y,z'
loop_
_atom_site_label
_atom_site_type_symbol
_atom_site_fract_x
_atom_site_fract_y
_atom_site_fract_z
Nb1 Nb 0.000 0.000 0.000
Ni1 Ni 0.500 0.500 0.500
P1 P 0.000 0.000 0.500
O1 O 0.000 0.500 0.000
O2 O 0.500 0.000 0.000
```

Here is crystalline NbNi3P4O16 at its relaxed geometry from Alexandria via LeMat-Bulk. Energies are from PBE+U.

Computed properties:
Volume = 290 Å³ per cell
Space-group type = Pm (6)
Raw total energy = -6.84 eV per atom

The structure in CIF format:
```
data_NbNi3P4O16
_chemical_formula_sum 'Nb1 Ni3 P4 O16'
_cell_length_a 4.912
_cell_length_b 5.905
_cell_length_c 10.008
_cell_angle_alpha 90.00
_cell_angle_beta 91.07
_cell_angle_gamma 90.00
_space_group_name_H-M_alt 'P 1'
_space_group_IT_number 1
loop_
_space_group_symop_operation_xyz
'x,y,z'
loop_
_atom_site_label
_atom_site_type_symbol
_atom_site_fract_x
_atom_site_fract_y
_atom_site_fract_z
Nb1 Nb 0.000 0.000 0.000
Ni1 Ni 0.407 0.000 0.506
Ni2 Ni 0.512 0.500 0.057
Ni3 Ni 0.912 0.500 0.548
P1 P 0.034 0.500 0.867
P2 P 0.349 0.500 0.372
P3 P 0.584 0.000 0.190
P4 P 0.865 0.000 0.670
O1 O 0.120 0.500 0.725
O2 O 0.170 0.000 0.664
O3 O 0.181 0.294 0.949
O4 O 0.181 0.706 0.949
O5 O 0.207 0.294 0.441
O6 O 0.207 0.706 0.441
O7 O 0.281 0.000 0.144
O8 O 0.298 0.500 0.220
O9 O 0.628 0.000 0.336
O10 O 0.661 0.500 0.392
O11 O 0.711 0.206 0.611
O12 O 0.711 0.794 0.611
O13 O 0.730 0.199 0.111
O14 O 0.730 0.801 0.111
O15 O 0.733 0.500 0.894
O16 O 0.813 0.000 0.832
```

- Which value of raw total energy does entry 7 give?
  -6.70 eV per atom

- What is the volume in the sixth record?
  47 Å³ per cell